An optimized crystal structure of SrBi3O, computed with GGA-PBE.

Structure (POSCAR):
```
SrBi3O
1.0
5.1046 0.0000 0.0000
0.0000 5.1046 0.0000
0.0000 0.0000 5.1046
Sr Bi O
1 3 1
Direct
0.5000 0.5000 0.5000
0.0000 0.5000 0.0000
0.0000 0.0000 0.5000
0.5000 0.0000 0.0000
0.0000 0.0000 0.0000
```

Results
- Energy relative to the elements, uncorrected: -2.7 eV per formula unit
- Space group: Pm-3m (221)



An optimized crystal structure of ZrAsBr2, computed with GGA-PBE.

Structure (POSCAR):
```
ZrAsBr2
1.0
3.6331 0.0000 0.0000
0.0000 3.6331 0.0000
0.0000 0.0000 8.2075
As Br Zr
1 2 1
Direct
0.5000 0.5000 0.6920
0.0000 0.0000 0.9062
0.5000 0.5000 0.3316
0.0000 0.0000 0.5701
```

Results
- Energy relative to the elements, uncorrected: -2.5 eV per formula unit
- Space group: P4mm (99)



An optimized crystal structure of ZnMoSN2, computed with GGA-PBE.

Structure (POSCAR):
```
ZnMoSN2
1.0
-3.6188 -0.7412 1.0860
-0.3492 -2.5242 -2.8864
1.6965 -3.7626 3.0852
S Mo Zn N
1 1 1 2
Direct
0.0000 0.0000 0.5000
0.0000 0.0000 0.0000
0.5000 0.5000 0.5000
0.0000 0.5000 0.0000
0.5000 0.0000 0.0000
```

Results
- Energy relative to the elements, uncorrected: 1.8 eV per formula unit
- Space group: P4/mmm (123)



An optimized crystal structure of Pm3Cu2Ge4, computed with GGA-PBE.

Structure (POSCAR):
```
Pm3Cu2Ge4
1.0
-1.7853 -0.9674 -3.6943
5.6300 -1.7781 0.1501
-3.7742 -6.5424 3.5371
Pm Cu Ge
3 2 4
Direct
0.6611 0.3223 0.6678
0.0000 0.0000 0.0000
0.3389 0.6777 0.3322
0.6109 0.2218 0.2847
0.3891 0.7782 0.7153
0.7132 0.4264 0.0615
0.2868 0.5736 0.9385
0.9375 0.8750 0.6131
0.0625 0.1250 0.3869
```

Results
- Formation energy: -0.7190 eV/atom
- Space group: C2/m (12)



An optimized crystal structure of PdPbSe2, computed with GGA-PBE.

Structure (POSCAR):
```
PdPbSe2
1.0
4.4781 -0.0234 -0.2522
-0.0266 4.3528 0.0009
-2.5057 -2.1275 5.0523
Pd Pb Se
1 1 2
Direct
0.5282 0.5605 0.7115
0.2036 0.9241 0.2407
0.8811 0.5955 0.4897
0.5224 0.1945 0.9709
```

Results
- Energy relative to the elements, uncorrected: -0.9 eV per formula unit
- Space group: P1 (1)



An optimized crystal structure of DyMnPd2, computed with GGA-PBE.

Structure (POSCAR):
```
DyMnPd2
1.0
-0.2998 -3.2900 -0.5387
3.3338 -0.2984 -0.0329
-0.0307 -1.0516 6.4398
Mn Pd Dy
1 2 1
Direct
0.5000 0.5000 0.0000
0.0000 0.0000 0.7775
0.0000 0.0000 0.2225
0.5000 0.5000 0.5000
```

Results
- Formation energy: -0.5089 eV/atom
- Space group: P4/mmm (123)



An optimized crystal structure of SrUS3, computed with GGA-PBE.

Structure (POSCAR):
```
SrUS3
1.0
4.1105 0.0000 0.0000
0.0000 7.4738 0.0000
0.0000 0.0000 15.7595
Sr U S
4 4 12
Direct
0.7500 0.8747 0.7952
0.2500 0.1253 0.2048
0.7500 0.3747 0.7048
0.2500 0.6253 0.2952
0.2500 0.2662 0.9589
0.2500 0.7662 0.5411
0.7500 0.2338 0.4589
0.7500 0.7338 0.0411
0.2500 0.3711 0.5527
0.7500 0.8306 0.2056
0.7500 0.4879 0.9072
0.7500 0.9879 0.5928
0.7500 0.6289 0.4473
0.2500 0.0121 0.4072
0.2500 0.8711 0.9473
0.7500 0.3306 0.2944
0.2500 0.6694 0.7056
0.2500 0.1694 0.7944
0.7500 0.1289 0.0527
0.2500 0.5121 0.0928
```

Results
- Energy relative to the elements, uncorrected: -8.5 eV per formula unit
- Space group: Pnma (62)



An optimized crystal structure of RbCaBeSiPdSe, computed with GGA-PBE.

Structure (POSCAR):
```
RbCaBeSiPdSe
1.0
4.3055 -0.0022 -0.0010
0.0449 5.0378 -0.0173
0.0406 2.3818 8.1868
Be Pd Ca Si Rb Se
1 1 1 1 1 1
Direct
0.9518 0.3067 0.9115
0.4503 0.4588 0.7564
0.4549 0.8682 0.9272
0.9498 0.6018 0.6670
0.4454 0.1766 0.4039
0.9519 0.9724 0.1287
```

Results
- Energy relative to the elements, uncorrected: -3.4 eV per formula unit
- Space group: P1 (1)



An optimized crystal structure of CaAsRh2, computed with GGA-PBE.

Structure (POSCAR):
```
CaAsRh2
1.0
3.9689 0.0000 0.0000
0.0000 3.9689 0.0000
0.0000 0.0000 9.4688
Ca As Rh
2 2 4
Direct
0.5000 0.0000 0.2094
0.0000 0.5000 0.7906
0.5000 0.0000 0.6572
0.0000 0.5000 0.3428
0.5000 0.0000 0.9083
0.0000 0.5000 0.0917
0.0000 0.0000 0.5000
0.5000 0.5000 0.5000
```

Results
- Formation energy: -0.5539 eV/atom
- Space group: P4/nmm (129)



An optimized crystal structure of CeMgAg2, computed with GGA-PBE.

Structure (POSCAR):
```
CeMgAg2
1.0
3.2166 0.0000 0.0000
0.0000 5.2835 0.0000
0.0000 0.0000 5.2835
Mg Ag Ce
1 2 1
Direct
0.5000 0.0000 0.0000
0.0000 0.0000 0.5000
0.0000 0.5000 0.0000
0.5000 0.5000 0.5000
```

Results
- Formation energy: -0.0647 eV/atom
- Space group: P4/mmm (123)



An optimized crystal structure of UAgAu4, computed with GGA-PBE.

Structure (POSCAR):
```
UAgAu4
1.0
2.9340 0.0000 0.1828
0.0000 4.9449 0.0000
0.4452 0.0000 8.1959
U Ag Au
1 1 4
Direct
0.5000 0.0000 0.0000
0.5000 0.5000 0.5000
0.1508 0.0000 0.6573
0.0396 0.5000 0.8266
0.8492 0.0000 0.3427
0.9604 0.5000 0.1734
```

Results
- Formation energy: -0.1145 eV/atom
- Space group: P2/m (10)



An optimized crystal structure of InAgHPb2, computed with GGA-PBE.

Structure (POSCAR):
```
InAgHPb2
1.0
-1.7750 0.9935 5.0382
4.4235 -2.4117 2.0340
1.8388 3.3603 -0.0148
Pb H Ag In
2 1 1 1
Direct
0.0000 0.5000 0.0000
0.5000 0.0000 0.0000
0.0000 0.0000 0.0000
0.0000 0.0000 0.5000
0.5000 0.5000 0.5000
```

Results
- Total DFT energy (no corrections): -3.070 eV per atom
- Space group: P4/mmm (123)



An optimized crystal structure of SrCa3Si4, computed with GGA-PBE.

Structure (POSCAR):
```
SrCa3Si4
1.0
-3.4974 1.8172 0.0369
-0.5492 -1.1470 4.4282
4.8711 9.3134 3.0164
Sr Ca Si
1 3 4
Direct
0.0000 0.5000 0.1411
0.0000 0.0000 0.6400
0.5000 0.0000 0.3689
0.5000 0.5000 0.8580
0.0000 0.5000 0.4375
0.0000 0.0000 0.9242
0.5000 0.0000 0.0579
0.5000 0.5000 0.5724
```

Results
- Energy relative to the elements, uncorrected: -4.1 eV per formula unit
- Space group: Pmm2 (25)



| no. | volume (Å³/atom) |
| --- | --- |
| 1 | 26.60 |
| 2 | 27.08 |
| 3 | 15.28 |
| 4 | 21.13 |
| 5 | 23.93 |
| 6 | 18.28 |
| 7 | 24.21 |
| 8 | 29.63 |
| 9 | 18.64 |
| 10 | 22.45 |
| 11 | 19.75 |
| 12 | 22.62 |
| 13 | 24.82 |